No. 1
! BaDySi4, relaxed, DFT PBE-GGA; values from VASP
&SYSTEM
  ibrav = 0, nat = 24, ntyp = 3
/
ATOMIC_SPECIES
Si 28.09 Si.upf
Dy 162.50 Dy.upf
Ba 137.33 Ba.upf
CELL_PARAMETERS angstrom
-2.5473 -3.3025 -1.4972
2.2589 -4.5172 6.1207
-12.0541 5.4552 8.4749
ATOMIC_POSITIONS crystal
Si 0.5000 0.0267 0.6928
Si 0.5000 0.1213 0.5453
Dy 0.0000 0.3701 0.9127
Si 0.5000 0.8719 0.0431
Ba 0.0000 0.3777 0.6520
Si 0.5000 0.3787 0.0453
Si 0.5000 0.1281 0.9569
Si 0.5000 0.4733 0.1928
Si 0.5000 0.7770 0.1918
Si 0.5000 0.5267 0.8072
Ba 0.0000 0.8777 0.8480
Si 0.5000 0.2230 0.8082
Ba 0.0000 0.1223 0.1520
Dy 0.0000 0.1299 0.4127
Si 0.5000 0.6213 0.9547
Dy 0.0000 0.6299 0.0873
Dy 0.0000 0.8701 0.5873
Si 0.5000 0.6281 0.5431
Si 0.5000 0.9733 0.3072
Si 0.5000 0.7230 0.6918
Ba 0.0000 0.6223 0.3480
Si 0.5000 0.3719 0.4569
Si 0.5000 0.8787 0.4547
Si 0.5000 0.2770 0.3082
! VASP energy in eV/atom: -5.1102
! Formation energy without anion corrections in eV per atom: -0.4074
! ρ in g/cm3: 4.955

No. 2
! NaCu3As, relaxed, DFT PBE-GGA; values from VASP
&SYSTEM
  ibrav = 0, nat = 5, ntyp = 3
/
ATOMIC_SPECIES
Cu 63.55 Cu.upf
As 74.92 As.upf
Na 22.99 Na.upf
CELL_PARAMETERS angstrom
4.5274 0.0000 0.0000
0.0000 4.5274 0.0000
0.0000 0.0000 4.5274
ATOMIC_POSITIONS crystal
Cu 0.5000 0.0000 0.0000
As 0.5000 0.5000 0.5000
Cu 0.0000 0.5000 0.0000
Na 0.0000 0.0000 0.0000
Cu 0.0000 0.0000 0.5000
! VASP energy in eV/atom: -2.4245
! E above lowest polymorph in eV/atom: 1.013
! ρ in g/cm3: 5.163
! E_form in eV per atom: 1.227

No. 3
! SbMo4Br, relaxed, DFT PBE-GGA; values from VASP
&SYSTEM
  ibrav = 0, nat = 6, ntyp = 3
/
ATOMIC_SPECIES
Br 79.90 Br.upf
Mo 95.94 Mo.upf
Sb 121.76 Sb.upf
CELL_PARAMETERS angstrom
0.0000 3.8086 3.8086
3.8086 0.0000 3.8086
3.8086 3.8086 0.0000
ATOMIC_POSITIONS crystal
Br 0.0000 0.0000 0.0000
Mo 0.3719 0.8842 0.3719
Sb 0.7500 0.7500 0.7500
Mo 0.3719 0.3719 0.3719
Mo 0.3719 0.3719 0.8842
Mo 0.8842 0.3719 0.3719
! VASP energy in eV/atom: -7.3495
! Formation energy without anion corrections in eV per atom: 0.8371
! ρ in g/cm3: 8.798

No. 4
! Ca4GaSn3, relaxed, DFT PBE-GGA; values from VASP
&SYSTEM
  ibrav = 0, nat = 8, ntyp = 3
/
ATOMIC_SPECIES
Sn 118.71 Sn.upf
Ca 40.08 Ca.upf
Ga 69.72 Ga.upf
CELL_PARAMETERS angstrom
-1.7368 3.6480 -1.7395
-1.5406 -2.4964 -3.6973
-9.8306 -2.0628 5.4890
ATOMIC_POSITIONS crystal
Sn 0.5000 0.0000 0.9248
Ca 0.5000 0.5000 0.1319
Ca 0.0000 0.5000 0.8694
Sn 0.0000 0.5000 0.5835
Sn 0.5000 0.5000 0.4150
Ca 0.5000 0.0000 0.6381
Ca 0.0000 0.0000 0.3567
Ga 0.0000 0.0000 0.0807
! VASP energy in eV/atom: -3.4983
! ρ in g/cm3: 4.096
! E_form in eV per atom: -0.618

No. 5
! KIr, relaxed, DFT PBE-GGA; values from VASP
&SYSTEM
  ibrav = 0, nat = 12, ntyp = 2
/
ATOMIC_SPECIES
Ir 192.22 Ir.upf
K 39.10 K.upf
CELL_PARAMETERS angstrom
11.4305 0.0000 0.0000
-5.7152 9.8991 0.0000
0.0000 0.0000 4.3369
ATOMIC_POSITIONS crystal
Ir 0.9534 0.4767 0.7500
Ir 0.5233 0.0466 0.7500
K 0.7941 0.5882 0.2500
Ir 0.4767 0.9534 0.2500
K 0.2059 0.7941 0.7500
K 0.2059 0.4118 0.7500
K 0.4118 0.2059 0.2500
Ir 0.5233 0.4767 0.7500
Ir 0.0466 0.5233 0.2500
K 0.5882 0.7941 0.7500
K 0.7941 0.2059 0.2500
Ir 0.4767 0.5233 0.2500
! VASP energy in eV/atom: -4.3408
! E above lowest polymorph in eV/atom: 0.273
! ρ in g/cm3: 4.696
! E_form in eV per atom: 0.638

No. 6
! AcPmPSe, relaxed, DFT PBE-GGA; values from VASP
&SYSTEM
  ibrav = 0, nat = 4, ntyp = 4
/
ATOMIC_SPECIES
Se 78.96 Se.upf
Ac 227.00 Ac.upf
Pm 145.00 Pm.upf
P 30.97 P.upf
CELL_PARAMETERS angstrom
-3.8938 -0.7566 1.4256
3.2005 -2.4673 1.2006
2.7984 5.8222 4.5026
ATOMIC_POSITIONS crystal
Se 0.9772 0.3868 0.3789
Ac 0.1196 0.9577 0.0926
Pm 0.4870 0.1414 0.6437
P 0.2941 0.5449 0.8544
! VASP energy in eV/atom: -6.1004
! Formation energy without anion corrections in eV per atom: -1.6620
! E above lowest polymorph in eV/atom: 0.000
! ρ in g/cm3: 6.944

No. 7
! BeInMo, relaxed, DFT PBE-GGA; values from VASP
&SYSTEM
  ibrav = 0, nat = 3, ntyp = 3
/
ATOMIC_SPECIES
Be 9.01 Be.upf
Mo 95.94 Mo.upf
In 114.82 In.upf
CELL_PARAMETERS angstrom
4.3562 0.0000 0.0000
-2.1781 3.7726 0.0000
0.0000 0.0000 2.8299
ATOMIC_POSITIONS crystal
Be 0.0000 0.0000 0.1648
Mo 0.3333 0.6667 0.6676
In 0.6667 0.3333 0.1676
! VASP energy in eV/atom: -5.3447
! E above lowest polymorph in eV/atom: 0.059
! ρ in g/cm3: 7.847
! E_form in eV per atom: 0.421

No. 8
! SbMo, relaxed, DFT PBE-GGA; values from VASP
&SYSTEM
  ibrav = 0, nat = 12, ntyp = 2
/
ATOMIC_SPECIES
Mo 95.94 Mo.upf
Sb 121.76 Sb.upf
CELL_PARAMETERS angstrom
-1.7395 -1.3603 -2.5608
-6.6698 -6.0451 7.7419
-4.3338 5.0895 0.2403
ATOMIC_POSITIONS crystal
Mo 0.5000 0.3206 0.0707
Mo 0.0000 0.0000 0.5266
Sb 0.0000 0.3356 0.7399
Mo 0.0000 0.5000 0.0266
Mo 0.5000 0.8206 0.5707
Sb 0.0000 0.6644 0.7399
Sb 0.0000 0.1644 0.2399
Sb 0.0000 0.8356 0.2399
Mo 0.5000 0.1794 0.5707
Sb 0.5000 0.5000 0.3543
Sb 0.5000 0.0000 0.8543
Mo 0.5000 0.6794 0.0707
! VASP energy in eV/atom: -7.1654
! Formation energy without anion corrections in eV per atom: 0.3114
! ρ in g/cm3: 8.077

No. 9
! NbRe3W, relaxed, DFT PBE-GGA; values from VASP
&SYSTEM
  ibrav = 0, nat = 5, ntyp = 3
/
ATOMIC_SPECIES
Nb 92.91 Nb.upf
Re 186.21 Re.upf
W 183.84 W.upf
CELL_PARAMETERS angstrom
4.6752 0.0000 0.0000
0.0000 4.6752 0.0000
0.0000 0.0000 4.6752
ATOMIC_POSITIONS crystal
Nb 0.5000 0.5000 0.5000
Re 0.5000 0.0000 0.0000
Re 0.0000 0.5000 0.0000
W 0.0000 0.0000 0.0000
Re 0.0000 0.0000 0.5000
! VASP energy in eV/atom: -10.0284
! E above lowest polymorph in eV/atom: 0.000
! ρ in g/cm3: 13.575
! E_form in eV per atom: 2.045

No. 10
! PmSmIn, relaxed, DFT PBE-GGA; values from VASP
&SYSTEM
  ibrav = 0, nat = 3, ntyp = 3
/
ATOMIC_SPECIES
In 114.82 In.upf
Sm 150.36 Sm.upf
Pm 145.00 Pm.upf
CELL_PARAMETERS angstrom
3.6258 0.0000 0.0000
0.0000 3.6258 0.0000
-1.8129 -1.8129 7.0330
ATOMIC_POSITIONS crystal
In 0.6159 0.6159 0.2318
Sm 0.9635 0.9635 0.9270
Pm 0.2706 0.2706 0.5412
! VASP energy in eV/atom: -4.3629
! E above lowest polymorph in eV/atom: 0.051
! ρ in g/cm3: 7.367
! E_form in eV per atom: -0.294

No. 11
! CrMoBr2, relaxed, DFT PBE-GGA; values from VASP
&SYSTEM
  ibrav = 0, nat = 4, ntyp = 3
/
ATOMIC_SPECIES
Br 79.90 Br.upf
Cr 52.00 Cr.upf
Mo 95.94 Mo.upf
CELL_PARAMETERS angstrom
8.0577 0.0740 -0.0012
6.3039 5.0194 0.0012
-7.0245 -2.9873 2.5816
ATOMIC_POSITIONS crystal
Br 0.6151 0.6151 0.0000
Cr 0.2500 0.7500 0.5000
Mo 0.7500 0.2500 0.5000
Br 0.8849 0.8849 0.0000
! VASP energy in eV/atom: -5.7545
! Formation energy without anion corrections in eV per atom: 0.1956
! E above lowest polymorph in eV/atom: 0.170
! ρ in g/cm3: 4.951

No. 12
! NaInPb3, relaxed, DFT PBE-GGA; values from VASP
&SYSTEM
  ibrav = 0, nat = 5, ntyp = 3
/
ATOMIC_SPECIES
Pb 207.20 Pb.upf
In 114.82 In.upf
Na 22.99 Na.upf
CELL_PARAMETERS angstrom
-3.7841 -2.7749 -3.4996
2.5058 -5.1160 1.3470
-3.6971 -0.6273 4.4950
ATOMIC_POSITIONS crystal
Pb 0.0000 0.0000 0.5000
In 0.0000 0.0000 0.0000
Pb 0.0000 0.5000 0.0000
Pb 0.5000 0.0000 0.0000
Na 0.5000 0.5000 0.5000
! VASP energy in eV/atom: -2.7252
! E above lowest polymorph in eV/atom: 0.348
! ρ in g/cm3: 6.287
! E_form in eV per atom: 0.311